(1)
AcGdIr: optimized geometry, PBE.

## Properties
VASP energy in eV/atom: -9.4332
DOS at the Fermi energy in states/eV per atom: 1.0365
ΔE_f in eV per atom: -0.416
Space-group type: I4mm, No. 107
Polymorph energy (0 for the lowest one) in meV per atom: 139.2
V in Å³ per atom: 29.80

Cell: 7.178 7.178 7.178 Å, 150.51 150.51 42.19°
Fractional coordinates of all 3 atoms:
Ac (0.000, 0.000, 0.000)
Gd (0.750, 0.750, 0.000)
Ir (0.361, 0.361, 0.000)

(2)
AcGdIr: optimized geometry, PBE.

## Properties
VASP energy in eV/atom: -9.5271
DOS at the Fermi energy in states/eV per atom: 1.3636
ΔE_f in eV per atom: -0.510
Space-group type: F-43m, No. 216
Polymorph energy (0 for the lowest one) in meV per atom: 45.3
V in Å³ per atom: 30.15

Cell: 5.039 5.039 5.039 Å, 60.00 60.00 60.00°
Fractional coordinates of all 3 atoms:
Ac (0.000, 0.000, 0.000)
Gd (0.500, 0.500, 0.500)
Ir (0.750, 0.750, 0.750)

(3)
AcGdIr2: optimized geometry, PBE.

## Properties
VASP energy in eV/atom: -9.5139
DOS at the Fermi energy in states/eV per atom: 0.4988
ΔE_f in eV per atom: -0.536
Space-group type: P4/mmm, No. 123
Polymorph energy (0 for the lowest one) in meV per atom: 0.0
V in Å³ per atom: 23.06

Cell: 3.542 3.542 7.351 Å, 90.00 90.00 90.00°
Fractional coordinates of all 4 atoms:
Ac (0.000, 0.000, 0.000)
Gd (0.000, 0.000, 0.500)
Ir (0.500, 0.500, 0.275)
Ir (0.500, 0.500, 0.725)

(4)
Ac2GdIr: optimized geometry, PBE.

## Properties
VASP energy in eV/atom: -7.8907
DOS at the Fermi energy in states/eV per atom: 2.3099
ΔE_f in eV per atom: -0.101
Space-group type: R-3m, No. 166
V in Å³ per atom: 41.33

Cell: 11.290 11.290 11.290 Å, 21.23 21.23 21.23°
Fractional coordinates of all 4 atoms:
Ac (0.116, 0.116, 0.116)
Ac (0.884, 0.884, 0.884)
Gd (0.000, 0.000, 0.000)
Ir (0.500, 0.500, 0.500)

(5)
AcGd2Ir: optimized geometry, PBE.

## Properties
VASP energy in eV/atom: -10.6411
DOS at the Fermi energy in states/eV per atom: 1.2923
ΔE_f in eV per atom: -0.358
Space-group type: P4/mmm, No. 123
Polymorph energy (0 for the lowest one) in meV per atom: 22.1
V in Å³ per atom: 29.69

Cell: 3.601 3.601 9.157 Å, 90.00 90.00 90.00°
Fractional coordinates of all 4 atoms:
Ac (0.000, 0.000, 0.000)
Gd (0.500, 0.500, 0.326)
Gd (0.500, 0.500, 0.674)
Ir (0.000, 0.000, 0.500)

(6)
AcGdIr4: optimized geometry, PBE.

## Properties
VASP energy in eV/atom: -9.5799
DOS at the Fermi energy in states/eV per atom: 0.7219
ΔE_f in eV per atom: -0.641
Space-group type: F-43m, No. 216
V in Å³ per atom: 19.38

Cell: 5.479 5.479 5.479 Å, 60.00 60.00 60.00°
Fractional coordinates of all 6 atoms:
Ac (0.000, 0.000, 0.000)
Gd (0.750, 0.750, 0.750)
Ir (0.375, 0.375, 0.375)
Ir (0.375, 0.375, 0.874)
Ir (0.375, 0.874, 0.375)
Ir (0.874, 0.375, 0.375)

(7)
AcGdIr2: optimized geometry, PBE.

## Properties
VASP energy in eV/atom: -9.4919
DOS at the Fermi energy in states/eV per atom: 0.8464
ΔE_f in eV per atom: -0.514
Space-group type: Fm-3m, No. 225
Polymorph energy (0 for the lowest one) in meV per atom: 22.0
V in Å³ per atom: 23.19

Cell: 5.081 5.081 5.081 Å, 60.00 60.00 60.00°
Fractional coordinates of all 4 atoms:
Ac (0.000, 0.000, 0.000)
Gd (0.500, 0.500, 0.500)
Ir (0.250, 0.250, 0.250)
Ir (0.750, 0.750, 0.750)

(8)
AcGd2Ir: optimized geometry, PBE.

## Properties
VASP energy in eV/atom: -10.6633
DOS at the Fermi energy in states/eV per atom: 1.1265
ΔE_f in eV per atom: -0.380
Space-group type: R-3m, No. 166
Polymorph energy (0 for the lowest one) in meV per atom: 0.0
V in Å³ per atom: 33.72

Cell: 9.802 9.802 9.802 Å, 23.81 23.81 23.81°
Fractional coordinates of all 4 atoms:
Ac (0.000, 0.000, 0.000)
Gd (0.220, 0.220, 0.220)
Gd (0.780, 0.780, 0.780)
Ir (0.500, 0.500, 0.500)

(9)
NaAcGdIr: optimized geometry, PBE.

## Properties
VASP energy in eV/atom: -7.2435
DOS at the Fermi energy in states/eV per atom: 0.9656
ΔE_f in eV per atom: -0.151
Space-group type: F-43m, No. 216
V in Å³ per atom: 26.03

Cell: 5.281 5.281 5.281 Å, 60.00 60.00 60.00°
Fractional coordinates of all 4 atoms:
Na (0.000, 0.000, 0.000)
Ac (0.250, 0.250, 0.250)
Gd (0.750, 0.750, 0.750)
Ir (0.500, 0.500, 0.500)

(10)
AcGdNiIr: optimized geometry, PBE.

## Properties
VASP energy in eV/atom: -8.6143
DOS at the Fermi energy in states/eV per atom: 0.6046
ΔE_f in eV per atom: -0.406
Space-group type: F-43m, No. 216
V in Å³ per atom: 22.83

Cell: 5.055 5.055 5.055 Å, 60.00 60.00 60.00°
Fractional coordinates of all 4 atoms:
Ac (0.000, 0.000, 0.000)
Gd (0.500, 0.500, 0.500)
Ni (0.750, 0.750, 0.750)
Ir (0.250, 0.250, 0.250)

(11)
AcGdIrPb: optimized geometry, PBE.

## Properties
VASP energy in eV/atom: -8.0249
DOS at the Fermi energy in states/eV per atom: 0.9183
ΔE_f in eV per atom: -0.335
Space-group type: F-43m, No. 216
V in Å³ per atom: 27.70

Cell: 5.391 5.391 5.391 Å, 60.00 60.00 60.00°
Fractional coordinates of all 4 atoms:
Ac (0.000, 0.000, 0.000)
Gd (0.500, 0.500, 0.500)
Ir (0.250, 0.250, 0.250)
Pb (0.750, 0.750, 0.750)

(12)
AcGdIrPt: optimized geometry, PBE.

## Properties
VASP energy in eV/atom: -9.0789
DOS at the Fermi energy in states/eV per atom: 0.4087
ΔE_f in eV per atom: -0.806
Space-group type: F-43m, No. 216
V in Å³ per atom: 23.73

Cell: 5.121 5.121 5.121 Å, 60.00 60.00 60.00°
Fractional coordinates of all 4 atoms:
Ac (0.000, 0.000, 0.000)
Gd (0.500, 0.500, 0.500)
Ir (0.750, 0.750, 0.750)
Pt (0.250, 0.250, 0.250)